Computed, not measured: a relaxed CaSiNi3 crystal at the PBE-GGA level of DFT.

Calculated values
As for the excess energy over the best structure of this formula in the dataset: 1936.0 meV per atom. The uncorrected formation energy is 1.57 eV/atom.

a b c (Å): 4.4832 4.4832 4.4832
angles (deg): 90.00 90.00 90.00
Last column: nearest neighbours and their distance in Å.
Space group Pm-3m (No. 221)
Unique sites:
Ca 0.0000 0.0000 0.0000 [1 per cell]  6 Ni 2.24
Si 0.5000 0.5000 0.5000 [1 per cell]  12 Ni 3.17
Ni 0.0000 0.0000 0.5000 [3 per cell]  2 Ca 2.24

Computed, not measured: a relaxed Li2AlIr crystal at the PBE-GGA level of DFT.

Calculated values
For the energy relative to the elements, the calculation gives -14.60 kJ/mol of atoms.

a b c (Å): 3.5635 3.5635 19.1360
angles (deg): 90.00 90.00 90.00
Last column: nearest neighbours and their distance in Å.
Space group I-42d (No. 122)
Unique sites:
Li 0.2309 0.7500 0.1250 [8 per cell]  4 Li 2.43-2.62, 2 Ir 2.68
Al 0.0000 0.0000 0.5000 [4 per cell]  4 Ir 2.52, 4 Li 2.73
Ir 0.0000 0.0000 0.0000 [4 per cell]  4 Al 2.52, 4 Li 2.68

Computed, not measured: a relaxed Er6FeSb2 crystal at the PBE-GGA level of DFT.

Calculated values
The uncorrected formation energy is -0.56 eV/atom.

a b c (Å): 8.1281 8.1281 4.0981
angles (deg): 90.00 90.00 120.00
Last column: nearest neighbours and their distance in Å.
Space group P-62m (No. 189)
Unique sites:
Er 0.0000 0.2334 0.0000 [3 per cell]  2 Fe 2.79
Er 0.0000 0.6054 0.5000 [3 per cell]  1 Fe 3.21, 4 Sb 3.23, 4 Er 3.46
Fe 0.0000 0.0000 0.5000 [1 per cell]  6 Er 2.79
Sb 0.3333 0.6667 0.0000 [2 per cell]  9 Er 3.19-3.23

What did we get for theoretical density? Answer: 4.50, 6.37, 9.23 Mg/m³, in the order shown.
What did we get for total magnetic moment? Answer: 0.00, 0.00, 0.00 μB/atom, in the order shown.